Entry 1:
# Sr3InP3, PBEsol geometry, DFT meta-GGA SCAN
data_Sr3InP3
_chemical_formula_sum 'Sr12 In4 P12'
_space_group_name_H-M_alt 'P 1'
_space_group_IT_number 1
_cell_length_a 4.2868
_cell_length_b 12.7792
_cell_length_c 13.7093
_cell_angle_alpha 90.00
_cell_angle_beta 90.00
_cell_angle_gamma 90.00
loop_
_space_group_symop_operation_xyz
'x,y,z'
loop_
_atom_site_label
_atom_site_fract_x
_atom_site_fract_y
_atom_site_fract_z
_atom_site_occupancy
P1 0.7500 0.9063 0.1144 1
Sr1 0.7500 0.9255 0.8952 1
Sr2 0.7500 0.2247 0.7946 1
P2 0.2500 0.7413 0.8716 1
In1 0.7500 0.4487 0.2016 1
Sr3 0.7500 0.4255 0.6048 1
In2 0.2500 0.0513 0.7016 1
Sr4 0.7500 0.7247 0.7054 1
Sr5 0.2500 0.0745 0.1048 1
P3 0.2500 0.0482 0.3574 1
In3 0.7500 0.9487 0.2984 1
P4 0.7500 0.4518 0.8574 1
P5 0.7500 0.9518 0.6426 1
Sr6 0.2500 0.8574 0.4958 1
Sr7 0.7500 0.6426 0.9958 1
P6 0.7500 0.4063 0.3856 1
Sr8 0.2500 0.7753 0.2054 1
P7 0.2500 0.5937 0.6144 1
Sr9 0.2500 0.5745 0.3952 1
P8 0.7500 0.7587 0.3716 1
P9 0.2500 0.2413 0.6284 1
P10 0.2500 0.5482 0.1426 1
Sr10 0.2500 0.2753 0.2946 1
P11 0.2500 0.0937 0.8856 1
Sr11 0.7500 0.1426 0.5042 1
In4 0.2500 0.5513 0.7984 1
Sr12 0.2500 0.3574 0.0042 1
P12 0.7500 0.2587 0.1284 1
# Formation energy from the elements   -1115.4 meV/atom
# Magnetization   0.00 μB per atom

Entry 2:
# SrInP2, PBEsol geometry, DFT meta-GGA SCAN
data_SrInP2
_chemical_formula_sum 'Sr1 In1 P2'
_space_group_name_H-M_alt 'P 1'
_space_group_IT_number 1
_cell_length_a 3.5576
_cell_length_b 3.5576
_cell_length_c 6.9563
_cell_angle_alpha 90.00
_cell_angle_beta 90.00
_cell_angle_gamma 90.00
loop_
_space_group_symop_operation_xyz
'x,y,z'
loop_
_atom_site_label
_atom_site_fract_x
_atom_site_fract_y
_atom_site_fract_z
_atom_site_occupancy
P1 0.5000 0.5000 0.1733 1
In1 0.5000 0.5000 0.8013 1
Sr1 0.0000 0.0000 0.4665 1
P2 0.0000 0.0000 0.0589 1
# Formation energy from the elements   -104.0 meV/atom
# Magnetization   0.00 μB per atom
# D(E_F)   1.86 states/eV/cell

Entry 3:
# SrInP3, PBEsol geometry, DFT meta-GGA SCAN
data_SrInP3
_chemical_formula_sum 'Sr1 In1 P3'
_space_group_name_H-M_alt 'P 1'
_space_group_IT_number 1
_cell_length_a 5.0192
_cell_length_b 5.0192
_cell_length_c 5.0192
_cell_angle_alpha 90.00
_cell_angle_beta 90.00
_cell_angle_gamma 90.00
loop_
_space_group_symop_operation_xyz
'x,y,z'
loop_
_atom_site_label
_atom_site_fract_x
_atom_site_fract_y
_atom_site_fract_z
_atom_site_occupancy
P1 0.0000 0.0000 0.5000 1
P2 0.5000 0.0000 0.0000 1
P3 0.0000 0.5000 0.0000 1
Sr1 0.5000 0.5000 0.5000 1
In1 0.0000 0.0000 0.0000 1
# Formation energy from the elements   281.2 meV/atom
# Magnetization   0.00 μB per atom
# D(E_F)   4.88 states/eV/cell